A plane-wave DFT calculation with GGA-PBE was carried out for a relaxed structure of Pa2TaCo4As3.

The density of states at the Fermi level is 0.56 states/eV/atom. The value obtained for the energy relative to the elements is -617.9 meV per atom.

The structure belongs to space group P-4m2 (No. 115); the cell edges are 4.0339, 4.0339 and 9.8423 Å and the angles 90.00°, 90.00° and 90.00°. The inequivalent atoms are Pa at (0.0000, 0.5000, 0.2361), Ta at (0.0000, 0.0000, 0.5000), Co at (0.0000, 0.0000, 0.0000), Co at (0.0000, 0.5000, 0.6362), Co at (0.5000, 0.5000, 0.0000), As at (0.0000, 0.5000, 0.8708) and As at (0.5000, 0.5000, 0.5000).

A plane-wave DFT calculation with GGA-PBE was carried out for a relaxed structure of Pa2Co3TcAs4.

The density of states at the Fermi level is 0.32 states/eV/atom. The value obtained for the energy relative to the elements is -660.6 meV per atom.

The structure belongs to space group P-4m2 (No. 115); the cell edges are 4.1611, 4.1611 and 9.3494 Å and the angles 90.00°, 90.00° and 90.00°. The inequivalent atoms are Pa at (0.0000, 0.5000, 0.2490), Co at (0.0000, 0.5000, 0.8871), Co at (0.5000, 0.5000, 0.5000), Tc at (0.0000, 0.0000, 0.5000), As at (0.0000, 0.0000, 0.0000), As at (0.0000, 0.5000, 0.6424) and As at (0.5000, 0.5000, 0.0000).

A plane-wave DFT calculation with GGA-PBE was carried out for a relaxed structure of Pa2Co4TcAs3.

The density of states at the Fermi level is 0.91 states/eV/atom. The value obtained for the energy relative to the elements is -541.1 meV per atom.

The structure belongs to space group P-4m2 (No. 115); the cell edges are 3.8337, 3.8337 and 10.5463 Å and the angles 90.00°, 90.00° and 90.00°. The inequivalent atoms are Pa at (0.0000, 0.5000, 0.2422), Co at (0.0000, 0.0000, 0.5000), Co at (0.0000, 0.5000, 0.8410), Co at (0.5000, 0.5000, 0.5000), Tc at (0.5000, 0.5000, 0.0000), As at (0.0000, 0.0000, 0.0000) and As at (0.0000, 0.5000, 0.6240).

- Look up the energy relative to the elements of the second one.
  -660.6 meV per atom

- Which of these has the highest energy relative to the elements?
  Pa2Co4TcAs3

- Among the records above, which one has the highest energy relative to the elements?
  Pa2Co4TcAs3